1.
The following is a DFT calculation (meta-GGA SCAN) of a PBEsol-optimized structure of CoMoPb2.

Formation energy ... 0.805 eV/atom
Fermi-level density of states ... 2.39 states/eV/cell
Crystal system ... tetragonal

Cell lengths 3.3191, 3.3191, 6.4430 Å; angles 90.00, 90.00, 90.00 degrees
Sites, in units of the cell vectors:
Co 0.0000 0.0000 0.0000
Mo 0.0000 0.0000 0.5000
Pb 0.5000 0.5000 0.2399
Pb 0.5000 0.5000 0.7601



2.
The following is a DFT calculation (meta-GGA SCAN) of a PBEsol-optimized structure of CoMo4Pb.

Formation energy ... 0.775 eV/atom
Fermi-level density of states ... 7.18 states/eV/cell
Crystal system ... cubic

Cell lengths 5.1950, 5.1950, 5.1950 Å; angles 60.00, 60.00, 60.00 degrees
Sites, in units of the cell vectors:
Co 0.0000 0.0000 0.0000
Mo 0.3743 0.3743 0.3743
Mo 0.3743 0.3743 0.8772
Mo 0.3743 0.8772 0.3743
Mo 0.8772 0.3743 0.3743
Pb 0.7500 0.7500 0.7500